The following is a DFT calculation (meta-GGA SCAN) of a PBEsol-optimized structure of Al3GaCl.

The structure belongs to space group Pm-3m (No. 221); the cell edges are 4.869, 4.869 and 4.869 Å and the angles 90.00°, 90.00° and 90.00°. The inequivalent atoms are Al at (0.000, 0.000, 0.500), Ga at (0.500, 0.500, 0.500) and Cl at (0.000, 0.000, 0.000).

For the total energy, the calculation gives -8.721 eV/atom. The value obtained for the uncorrected formation energy is 0.79 eV/atom.

---

The following is a DFT calculation (meta-GGA SCAN) of a PBEsol-optimized structure of AlGaCl4.

The structure belongs to space group P2_1/c (No. 14); the cell edges are 7.277, 10.237 and 11.706 Å and the angles 90.00°, 125.00° and 90.00°. The inequivalent atoms are Al at (0.075, 0.045, 0.318), Ga at (0.435, 0.213, 0.789), Cl at (0.136, 0.628, 0.939), Cl at (0.217, 0.029, 0.198), Cl at (0.238, 0.217, 0.446) and Cl at (0.284, 0.570, 0.320).

For the total energy, the calculation gives -10.730 eV/atom. The value obtained for the uncorrected formation energy is -1.40 eV/atom.

---

The following is a DFT calculation (meta-GGA SCAN) of a PBEsol-optimized structure of Al2GaCl.

The structure belongs to space group I-42d (No. 122); the cell edges are 5.692, 5.692 and 12.296 Å and the angles 90.00°, 90.00° and 90.00°. The inequivalent atoms are Al at (0.213, 0.250, 0.125), Ga at (0.000, 0.000, 0.000) and Cl at (0.000, 0.000, 0.500).

For the total energy, the calculation gives -10.003 eV/atom. The value obtained for the uncorrected formation energy is -0.05 eV/atom.

---

The following is a DFT calculation (meta-GGA SCAN) of a PBEsol-optimized structure of AlGaCl3.

The structure belongs to space group Pm-3m (No. 221); the cell edges are 4.963, 4.963 and 4.963 Å and the angles 90.00°, 90.00° and 90.00°. The inequivalent atoms are Al at (0.000, 0.000, 0.000), Ga at (0.500, 0.500, 0.500) and Cl at (0.000, 0.500, 0.500).

For the total energy, the calculation gives -10.188 eV/atom. The value obtained for the uncorrected formation energy is -0.58 eV/atom.